Entry 1:
# SrFeCu2, optimized geometry, DFT PBE-GGA
data_SrFeCu2
_cell_length_a 7.279
_cell_length_b 4.207
_cell_length_c 5.907
_cell_angle_alpha 90.00
_cell_angle_beta 114.58
_cell_angle_gamma 90.00
_symmetry_space_group_name_H-M 'C 1 m 1'
_symmetry_Int_Tables_number 8
_symmetry_space_group_name_Hall 'C -2y'
loop_
_atom_site_label
_atom_site_type_symbol
_atom_site_fract_x
_atom_site_fract_y
_atom_site_fract_z
Sr1 Sr 0.000 0.000 0.000
Fe1 Fe 0.186 0.000 0.561
Cu1 Cu 0.005 0.500 0.520
Cu2 Cu 0.312 0.500 0.440
# M_tot   0.597 μB per atom
# Energy of formation   151 meV per atom
# Total DFT energy (no corrections)   -35.5 eV for the cell shown
# Volume   164.5 Å³ per cell


Entry 2:
# YSc3Au2, optimized geometry, DFT PBE-GGA
data_YSc3Au2
_cell_length_a 4.720
_cell_length_b 8.474
_cell_length_c 6.835
_cell_angle_alpha 90.00
_cell_angle_beta 90.00
_cell_angle_gamma 90.00
_symmetry_space_group_name_H-M 'P m c 21'
_symmetry_Int_Tables_number 26
_symmetry_space_group_name_Hall 'P 2c -2'
loop_
_atom_site_label
_atom_site_type_symbol
_atom_site_fract_x
_atom_site_fract_y
_atom_site_fract_z
Y1 Y 0.000 0.068 0.000
Sc1 Sc 0.000 0.332 0.632
Sc2 Sc 0.500 0.181 0.333
Sc3 Sc 0.500 0.433 0.964
Au1 Au 0.000 0.355 0.234
Au2 Au 0.500 0.153 0.733
# M_tot   0.000 μB per atom
# Energy of formation   -649 meV per atom
# Total DFT energy (no corrections)   -71.8 eV for the cell shown
# Volume   273.4 Å³ per cell


Entry 3:
# CoTe6Ir, optimized geometry, DFT PBE-GGA
data_CoTe6Ir
_cell_length_a 13.346
_cell_length_b 9.572
_cell_length_c 9.528
_cell_angle_alpha 90.00
_cell_angle_beta 134.43
_cell_angle_gamma 90.00
_symmetry_space_group_name_H-M 'C 1 2/m 1'
_symmetry_Int_Tables_number 12
_symmetry_space_group_name_Hall '-C 2y'
loop_
_atom_site_label
_atom_site_type_symbol
_atom_site_fract_x
_atom_site_fract_y
_atom_site_fract_z
Co1 Co 0.250 0.250 0.000
Te1 Te 0.008 0.159 0.682
Te2 Te 0.158 0.325 0.152
Te3 Te 0.164 0.500 0.511
Te4 Te 0.187 0.500 0.848
Ir1 Ir 0.250 0.250 0.500
# M_tot   0.000 μB per atom
# Formation energy (no corrections)   -0.045 eV per atom
# E above lowest polymorph   100 meV/atom
# Total DFT energy (no corrections)   -140.7 eV for the cell shown
# Volume   869.1 Å³ per cell


Entry 4:
# Sm6Ag2Ru, optimized geometry, DFT PBE-GGA
data_Sm6Ag2Ru
_cell_length_a 6.601
_cell_length_b 7.723
_cell_length_c 11.960
_cell_angle_alpha 90.00
_cell_angle_beta 119.51
_cell_angle_gamma 90.00
_symmetry_space_group_name_H-M 'P 1 21/c 1'
_symmetry_Int_Tables_number 14
_symmetry_space_group_name_Hall '-P 2ybc'
loop_
_atom_site_label
_atom_site_type_symbol
_atom_site_fract_x
_atom_site_fract_y
_atom_site_fract_z
Sm1 Sm 0.123 0.179 0.451
Sm2 Sm 0.292 0.680 0.438
Sm3 Sm 0.376 0.020 0.247
Ag1 Ag 0.173 0.113 0.746
Ru1 Ru 0.000 0.000 0.000
# M_tot   0.000 μB per atom
# Energy of formation   -158 meV per atom
# Total DFT energy (no corrections)   -89.4 eV for the cell shown
# Volume   530.6 Å³ per cell


Entry 5:
# AcYZnIr, optimized geometry, DFT PBE-GGA
data_AcYZnIr
_cell_length_a 7.310
_cell_length_b 7.310
_cell_length_c 7.310
_cell_angle_alpha 90.00
_cell_angle_beta 90.00
_cell_angle_gamma 90.00
_symmetry_space_group_name_H-M 'F -4 3 m'
_symmetry_Int_Tables_number 216
_symmetry_space_group_name_Hall 'F -4 2 3'
loop_
_atom_site_label
_atom_site_type_symbol
_atom_site_fract_x
_atom_site_fract_y
_atom_site_fract_z
Ac1 Ac 0.000 0.000 0.000
Y1 Y 0.000 0.000 0.500
Zn1 Zn 0.250 0.250 0.750
Ir1 Ir 0.250 0.250 0.250
# M_tot   0.000 μB per atom
# Energy of formation   -427 meV per atom
# Total DFT energy (no corrections)   -89.7 eV for the cell shown
# Volume   390.7 Å³ per cell


Entry 6:
# LaH6Pt2, optimized geometry, DFT PBE-GGA
data_LaH6Pt2
_cell_length_a 10.998
_cell_length_b 6.486
_cell_length_c 7.604
_cell_angle_alpha 90.00
_cell_angle_beta 133.75
_cell_angle_gamma 90.00
_symmetry_space_group_name_H-M 'C 1 2/c 1'
_symmetry_Int_Tables_number 15
_symmetry_space_group_name_Hall '-C 2yc'
loop_
_atom_site_label
_atom_site_type_symbol
_atom_site_fract_x
_atom_site_fract_y
_atom_site_fract_z
La1 La 0.000 0.163 0.250
H1 H 0.000 0.346 0.550
H2 H 0.114 0.001 0.113
H3 H 0.188 0.476 0.438
Pt1 Pt 0.179 0.500 0.179
# M_tot   0.000 μB per atom
# Total DFT energy (no corrections)   -160.0 eV for the cell shown
# Volume   391.9 Å³ per cell